No. 1
Here is a geometry-optimized BaIn2P structure from the Alexandria database. Energies are from PBE-GGA.

Properties
Uncorrected energy, eV/atom: -3.36
Space-group type: R-3m (166)
Energy of formation from the pure elements, eV per atom: -0.161
Spin magnetization, μB/atom: 0.00

Unit cell a=8.7863 b=8.7863 c=8.7863 alpha=27.39 beta=27.39 gamma=27.39
With the nearest neighbours (Å) after each atom.
Fractional coordinates of all 4 atoms:
Ba 0.7500 0.7500 0.7500  6 In 3.66
In 0.9744 0.9744 0.9744  3 P 2.81
In 0.5256 0.5256 0.5256  3 P 2.81
P 0.2500 0.2500 0.2500  6 In 2.81

=====

No. 2
Here is a geometry-optimized CaTa2Mn structure from the Alexandria database. Energies are from PBE-GGA.

Properties
Uncorrected energy, eV/atom: -8.15
Space-group type: R-3m (166)
Offset from the most stable computed form, meV per atom: 174
Energy of formation from the pure elements, eV per atom: 0.570
Spin magnetization, μB/atom: 0.00

Unit cell a=9.4899 b=9.4899 c=9.4899 alpha=18.87 beta=18.87 gamma=18.87
With the nearest neighbours (Å) after each atom.
Fractional coordinates of all 4 atoms:
Ca 0.2500 0.2500 0.2500  6 Ca 3.11, 6 Ta 3.39
Mn 0.7500 0.7500 0.7500  6 Ta 2.53
Ta 0.0196 0.0196 0.0196  3 Mn 2.53
Ta 0.4804 0.4804 0.4804  3 Mn 2.53

=====

No. 3
Here is a geometry-optimized SnPd structure from the Alexandria database. Energies are from PBE-GGA.

Properties
Uncorrected energy, eV/atom: -4.55
Space-group type: Pm-3n (223)
Energy of formation from the pure elements, eV per atom: 0.053
Spin magnetization, μB/atom: 0.00

Unit cell a=7.4066 b=7.4066 c=7.4066 alpha=90.00 beta=90.00 gamma=90.00
With the nearest neighbours (Å) after each atom.
Fractional coordinates of all 12 atoms:
Sn 0.2500 0.5000 0.0000  4 Pd 2.62
Sn 0.7500 0.5000 0.0000  4 Pd 2.62
Sn 0.5000 0.0000 0.2500  4 Pd 2.62
Sn 0.5000 0.0000 0.7500  4 Pd 2.62
Sn 0.0000 0.2500 0.5000  4 Pd 2.62
Sn 0.0000 0.7500 0.5000  4 Pd 2.62
Pd 0.2500 0.0000 0.5000  4 Sn 2.62
Pd 0.7500 0.0000 0.5000  4 Sn 2.62
Pd 0.0000 0.5000 0.2500  4 Sn 2.62
Pd 0.0000 0.5000 0.7500  4 Sn 2.62
Pd 0.5000 0.2500 0.0000  4 Sn 2.62
Pd 0.5000 0.7500 0.0000  4 Sn 2.62

=====

No. 4
Here is a geometry-optimized HRu3Rh structure from the Alexandria database. Energies are from PBE-GGA.

Properties
Uncorrected energy, eV/atom: -7.60
Space-group type: Pm-3m (221)
Offset from the most stable computed form, meV per atom: 0
Spin magnetization, μB/atom: 0.00

Unit cell a=3.8758 b=3.8758 c=3.8758 alpha=90.00 beta=90.00 gamma=90.00
With the nearest neighbours (Å) after each atom.
Fractional coordinates of all 5 atoms:
Ru 0.0000 0.5000 0.0000  2 H 1.94
Ru 0.0000 0.0000 0.5000  2 H 1.94
Ru 0.5000 0.0000 0.0000  2 H 1.94
Rh 0.5000 0.5000 0.5000  12 Ru 2.74
H 0.0000 0.0000 0.0000  6 Ru 1.94

=====

No. 5
Here is a geometry-optimized Pr5Sm2Tm2 structure from the Alexandria database. Energies are from PBE-GGA.

Properties
Uncorrected energy, eV/atom: -4.54
Space-group type: Ima2 (46)
Offset from the most stable computed form, meV per atom: 142
Energy of formation from the pure elements, eV per atom: 0.161
Spin magnetization, μB/atom: 0.00

Unit cell a=13.0356 b=6.2625 c=10.5281 alpha=107.30 beta=128.25 gamma=90.00
With the nearest neighbours (Å) after each atom.
Fractional coordinates of all 18 atoms:
Pr 0.1483 0.6128 0.9039  5 Pr 3.43-3.67, 2 Tm 3.53-3.61, 1 Sm 3.77
Pr 0.8517 0.7089 0.0961  5 Pr 3.43-3.67, 2 Tm 3.53-3.61, 1 Sm 3.77
Pr 0.2556 0.1128 0.9039  5 Pr 3.43-3.67, 2 Tm 3.53-3.61, 1 Sm 3.77
Pr 0.7444 0.2089 0.0961  5 Pr 3.43-3.67, 2 Tm 3.53-3.61, 1 Sm 3.77
Pr 0.3286 0.1558 0.2875  4 Pr 3.25-3.56, 2 Sm 3.30-3.58, 3 Tm 3.45-3.61
Pr 0.6714 0.8682 0.7125  4 Pr 3.25-3.56, 2 Sm 3.30-3.58, 3 Tm 3.45-3.61
Pr 0.4589 0.6558 0.2875  4 Pr 3.25-3.56, 2 Sm 3.30-3.58, 3 Tm 3.45-3.61
Pr 0.5411 0.3682 0.7125  4 Pr 3.25-3.56, 2 Sm 3.30-3.58, 3 Tm 3.45-3.61
Pr 0.0756 0.6736 0.5000  3 Sm 3.35-3.62, 4 Pr 3.44-3.70, 2 Tm 3.46
Pr 0.9244 0.1736 0.5000  3 Sm 3.35-3.62, 4 Pr 3.44-3.70, 2 Tm 3.46
Sm 0.0000 0.0859 0.0000  2 Pr 3.30, 2 Tm 3.48
Sm 0.5000 0.5859 0.0000  2 Pr 3.30, 2 Tm 3.48
Sm 0.1921 0.1976 0.5000  5 Pr 3.35-3.62, 2 Tm 3.51
Sm 0.8079 0.6976 0.5000  5 Pr 3.35-3.62, 2 Tm 3.51
Tm 0.1876 0.6535 0.2738  6 Pr 3.45-3.61, 1 Tm 3.46, 2 Sm 3.48-3.51
Tm 0.8124 0.3797 0.7262  6 Pr 3.45-3.61, 1 Tm 3.46, 2 Sm 3.48-3.51
Tm 0.5862 0.1535 0.2738  6 Pr 3.45-3.61, 1 Tm 3.46, 2 Sm 3.48-3.51
Tm 0.4138 0.8797 0.7262  6 Pr 3.45-3.61, 1 Tm 3.46, 2 Sm 3.48-3.51

=====

No. 6
Here is a geometry-optimized NaHf2Fe2 structure from the Alexandria database. Energies are from PBE-GGA.

Properties
Uncorrected energy, eV/atom: -7.41
Space-group type: P4/mbm (127)
Offset from the most stable computed form, meV per atom: 0
Energy of formation from the pure elements, eV per atom: 0.222
Spin magnetization, μB/atom: 0.17

Unit cell a=7.5448 b=7.5448 c=3.0696 alpha=90.00 beta=90.00 gamma=90.00
With the nearest neighbours (Å) after each atom.
Fractional coordinates of all 10 atoms:
Na 0.0000 0.0000 0.0000  4 Fe 2.93, 2 Na 3.07, 8 Hf 3.27
Na 0.5000 0.5000 0.0000  4 Fe 2.93, 2 Na 3.07, 8 Hf 3.27
Hf 0.1476 0.6476 0.5000  6 Fe 2.64-2.77
Hf 0.6476 0.8524 0.5000  6 Fe 2.64-2.77
Hf 0.8524 0.3524 0.5000  6 Fe 2.64-2.77
Hf 0.3524 0.1476 0.5000  6 Fe 2.64-2.77
Fe 0.3635 0.8635 0.0000  6 Hf 2.64-2.77, 1 Fe 2.91, 2 Na 2.93
Fe 0.8635 0.6365 0.0000  6 Hf 2.64-2.77, 1 Fe 2.91, 2 Na 2.93
Fe 0.6365 0.1365 0.0000  6 Hf 2.64-2.77, 1 Fe 2.91, 2 Na 2.93
Fe 0.1365 0.3635 0.0000  6 Hf 2.64-2.77, 1 Fe 2.91, 2 Na 2.93